1.
The following is a DFT calculation (PBE-GGA) of Mn2HgRhN after structural relaxation.

Cell and atoms, written as CIF:
```
data_Mn2HgRhN
_chemical_formula_sum 'Mn2 Hg1 Rh1 N1'
_cell_length_a 4.0158
_cell_length_b 4.0158
_cell_length_c 4.2222
_cell_angle_alpha 90.00
_cell_angle_beta 90.00
_cell_angle_gamma 90.00
_space_group_name_H-M_alt 'P 4/m m m'
_space_group_IT_number 123
_space_group_name_Hall '-P 4 2'
loop_
_atom_site_label
_atom_site_fract_x
_atom_site_fract_y
_atom_site_fract_z
Mn1 0.0000 0.5000 0.0000
Hg1 0.0000 0.0000 0.5000
Rh1 0.5000 0.5000 0.5000
N1 0.5000 0.5000 0.0000
```

Crystal system ... tetragonal
Theoretical density ... 10.4 Mg/m³
Energy relative to the elements, uncorrected ... -0.031 eV/atom

---

2.
The following is a DFT calculation (PBE-GGA) of MnHgSN2 after structural relaxation.

Cell and atoms, written as CIF:
```
data_MnHgSN2
_chemical_formula_sum 'Mn1 Hg1 S1 N2'
_cell_length_a 4.0971
_cell_length_b 4.0971
_cell_length_c 5.9815
_cell_angle_alpha 90.00
_cell_angle_beta 90.00
_cell_angle_gamma 90.00
_space_group_name_H-M_alt 'P 4/m m m'
_space_group_IT_number 123
_space_group_name_Hall '-P 4 2'
loop_
_atom_site_label
_atom_site_fract_x
_atom_site_fract_y
_atom_site_fract_z
Mn1 0.0000 0.0000 0.0000
Hg1 0.5000 0.5000 0.5000
S1 0.5000 0.5000 0.0000
N1 0.0000 0.5000 0.5000
```

Crystal system ... tetragonal
Theoretical density ... 5.2 Mg/m³
Energy relative to the elements, uncorrected ... 1.891 eV/atom

---

3.
The following is a DFT calculation (PBE-GGA) of MnHgSN2 after structural relaxation.

Cell and atoms, written as CIF:
```
data_MnHgSN2
_chemical_formula_sum 'Mn1 Hg1 S1 N2'
_cell_length_a 3.6499
_cell_length_b 3.6499
_cell_length_c 5.2700
_cell_angle_alpha 90.00
_cell_angle_beta 90.00
_cell_angle_gamma 90.00
_space_group_name_H-M_alt 'P 4/m m m'
_space_group_IT_number 123
_space_group_name_Hall '-P 4 2'
loop_
_atom_site_label
_atom_site_fract_x
_atom_site_fract_y
_atom_site_fract_z
Mn1 0.0000 0.0000 0.0000
Hg1 0.5000 0.5000 0.5000
S1 0.0000 0.0000 0.5000
N1 0.0000 0.5000 0.0000
```

Crystal system ... tetragonal
Theoretical density ... 7.5 Mg/m³
Energy relative to the elements, uncorrected ... 0.625 eV/atom

---

4.
The following is a DFT calculation (PBE-GGA) of Sc2MnHgN after structural relaxation.

Cell and atoms, written as CIF:
```
data_Sc2MnHgN
_chemical_formula_sum 'Sc2 Mn1 Hg1 N1'
_cell_length_a 4.5964
_cell_length_b 4.5964
_cell_length_c 3.6815
_cell_angle_alpha 90.00
_cell_angle_beta 90.00
_cell_angle_gamma 90.00
_space_group_name_H-M_alt 'P 4/m m m'
_space_group_IT_number 123
_space_group_name_Hall '-P 4 2'
loop_
_atom_site_label
_atom_site_fract_x
_atom_site_fract_y
_atom_site_fract_z
Sc1 0.0000 0.5000 0.0000
Mn1 0.0000 0.0000 0.5000
Hg1 0.5000 0.5000 0.5000
N1 0.0000 0.0000 0.0000
```

Crystal system ... tetragonal
Theoretical density ... 7.7 Mg/m³
Energy relative to the elements, uncorrected ... -0.783 eV/atom

---

5.
The following is a DFT calculation (PBE-GGA) of Y2MnHgN after structural relaxation.

Cell and atoms, written as CIF:
```
data_Y2MnHgN
_chemical_formula_sum 'Y2 Mn1 Hg1 N1'
_cell_length_a 5.0027
_cell_length_b 5.0027
_cell_length_c 3.7016
_cell_angle_alpha 90.00
_cell_angle_beta 90.00
_cell_angle_gamma 90.00
_space_group_name_H-M_alt 'P 4/m m m'
_space_group_IT_number 123
_space_group_name_Hall '-P 4 2'
loop_
_atom_site_label
_atom_site_fract_x
_atom_site_fract_y
_atom_site_fract_z
Y1 0.0000 0.5000 0.0000
Mn1 0.0000 0.0000 0.5000
Hg1 0.5000 0.5000 0.5000
N1 0.0000 0.0000 0.0000
```

Crystal system ... tetragonal
Theoretical density ... 8.0 Mg/m³
Energy relative to the elements, uncorrected ... -0.729 eV/atom

---

6.
The following is a DFT calculation (PBE-GGA) of Zr2MnHgN after structural relaxation.

Cell and atoms, written as CIF:
```
data_Zr2MnHgN
_chemical_formula_sum 'Zr2 Mn1 Hg1 N1'
_cell_length_a 4.5830
_cell_length_b 4.5830
_cell_length_c 3.9051
_cell_angle_alpha 90.00
_cell_angle_beta 90.00
_cell_angle_gamma 90.00
_space_group_name_H-M_alt 'P 4/m m m'
_space_group_IT_number 123
_space_group_name_Hall '-P 4 2'
loop_
_atom_site_label
_atom_site_fract_x
_atom_site_fract_y
_atom_site_fract_z
Zr1 0.0000 0.5000 0.0000
Mn1 0.0000 0.0000 0.5000
Hg1 0.5000 0.5000 0.5000
N1 0.0000 0.0000 0.0000
```

Crystal system ... tetragonal
Theoretical density ... 9.2 Mg/m³
Energy relative to the elements, uncorrected ... -0.620 eV/atom

---

Number 1: calculated total energy -34.47 eV/cell. Number 2: calculated total energy -20.80 eV/cell. Number 3: calculated total energy -27.12 eV/cell. Number 4: calculated total energy -34.38 eV/cell. Number 5: calculated total energy -34.37 eV/cell. Number 6: calculated total energy -37.99 eV/cell.